Entry 1:
PBE Mg2ScCd2Hg2, optimized geometry; energy relative to the elements = -14.7 kJ/mol of atoms; mass density = 7.9 g/cm³
1.0
-0.373 1.257 4.678
-4.129 -0.840 2.420
1.036 -6.559 4.368
Hg Sc Mg Cd
2 1 2 2
Direct
0.724 0.724 0.829 Hg
0.276 0.276 0.171 Hg
0.000 0.000 0.000 Sc
0.139 0.139 0.583 Mg
0.861 0.861 0.417 Mg
0.425 0.425 0.726 Cd
0.575 0.575 0.274 Cd

Entry 2:
PBE MgCdHg2Se4, optimized geometry; E_form (uncorrected) = -567 meV per atom; mass density = 6.0 g/cm³
1.0
6.186 0.256 0.000
-0.258 6.186 0.000
-2.964 -3.221 6.150
Hg Se Mg Cd
2 4 1 1
Direct
0.750 0.250 0.500 Hg
0.250 0.750 0.500 Hg
0.624 0.624 0.759 Se
0.376 0.865 0.241 Se
0.135 0.135 0.759 Se
0.865 0.376 0.241 Se
0.500 0.500 0.001 Mg
0.000 0.000 0.000 Cd

Entry 3:
PBE SmMgCdHg, optimized geometry; energy relative to the elements = -38.0 kJ/mol of atoms; mass density = 8.4 g/cm³
1.0
5.143 0.000 0.000
2.572 4.454 0.000
2.572 1.485 4.199
Sm Mg Hg Cd
1 1 1 1
Direct
0.500 0.500 0.500 Sm
0.000 0.000 0.000 Mg
0.250 0.250 0.250 Hg
0.750 0.750 0.750 Cd

Entry 4:
PBE SmMg2Cd2Hg2, optimized geometry; energy relative to the elements = -22.1 kJ/mol of atoms; mass density = 8.3 g/cm³
1.0
-1.416 0.472 4.628
-0.489 -3.940 2.807
7.055 -0.482 4.763
Sm Cd Mg Hg
1 2 2 2
Direct
0.000 0.000 0.000 Sm
0.568 0.568 0.295 Cd
0.432 0.432 0.705 Cd
0.860 0.860 0.421 Mg
0.140 0.140 0.579 Mg
0.269 0.269 0.193 Hg
0.731 0.731 0.807 Hg